Density functional theory data (PBE) for an optimized crystal structure of Er2LuIn3AgPt2.

Cell lengths 3.722, 7.785, 7.785 Å; angles 119.85, 90.00, 90.00 degrees
Sites, in units of the cell vectors:
1 Er 0.000 0.205 0.795
2 Er 0.000 0.795 0.205
3 Lu 0.000 0.614 0.614
4 In 0.500 0.205 0.474
5 In 0.500 0.474 0.205
6 In 0.500 0.934 0.934
7 Ag 0.000 0.205 0.205
8 Pt 0.500 0.538 0.870
9 Pt 0.500 0.870 0.538

Values from the calculation:
space group = No. 38
volume = 196 Å³/f.u.
total DFT energy (no corrections) = -4.91 eV/atom
size of the total moment = 0.0 Bohr magnetons per cell